# 1
The following is a PBE-GGA calculation of an optimized crystal structure of Mn2CoSb, from Alexandria via LeMat-Bulk.

CIF file:
```
data_Mn2CoSb
_cell_length_a 3.735
_cell_length_b 3.735
_cell_length_c 3.922
_cell_angle_alpha 90.00
_cell_angle_beta 90.00
_cell_angle_gamma 90.00
_space_group_name_H-M_alt 'P 1'
_space_group_IT_number 1
loop_
_space_group_symop_operation_xyz
'x,y,z'
loop_
_atom_site_label
_atom_site_type_symbol
_atom_site_fract_x
_atom_site_fract_y
_atom_site_fract_z
Mn1 Mn 0.000 0.500 0.000
Mn2 Mn 0.500 0.000 0.000
Co1 Co 0.000 0.000 0.500
Sb1 Sb 0.500 0.500 0.500
```

* formation energy (no corrections): 0.071 eV/atom
* theoretical density: 8.817 Mg/m³
* size of the total moment: 4.96 μB per formula unit


# 2
The following is a PBE-GGA calculation of an optimized crystal structure of NaZrSc2, from Alexandria via LeMat-Bulk.

CIF file:
```
data_NaZrSc2
_cell_length_a 3.117
_cell_length_b 3.117
_cell_length_c 36.474
_cell_angle_alpha 90.00
_cell_angle_beta 90.00
_cell_angle_gamma 120.00
_space_group_name_H-M_alt 'P 1'
_space_group_IT_number 1
loop_
_space_group_symop_operation_xyz
'x,y,z'
loop_
_atom_site_label
_atom_site_type_symbol
_atom_site_fract_x
_atom_site_fract_y
_atom_site_fract_z
Na1 Na 0.000 0.000 0.000
Na2 Na 0.333 0.667 0.667
Na3 Na 0.667 0.333 0.333
Zr1 Zr 0.000 0.000 0.500
Zr2 Zr 0.333 0.667 0.167
Zr3 Zr 0.667 0.333 0.833
Sc1 Sc 0.000 0.000 0.418
Sc2 Sc 0.000 0.000 0.582
Sc3 Sc 0.333 0.667 0.084
Sc4 Sc 0.333 0.667 0.249
Sc5 Sc 0.667 0.333 0.751
Sc6 Sc 0.667 0.333 0.916
```

* ΔH_f (0 K): 0.398 eV per atom
* theoretical density: 3.313 Mg/m³
* size of the total moment: 0.00 μB per formula unit


Repeat the first record exactly.
The following is a PBE-GGA calculation of an optimized crystal structure of Mn2CoSb, from Alexandria via LeMat-Bulk.

CIF file:
```
data_Mn2CoSb
_cell_length_a 3.735
_cell_length_b 3.735
_cell_length_c 3.922
_cell_angle_alpha 90.00
_cell_angle_beta 90.00
_cell_angle_gamma 90.00
_space_group_name_H-M_alt 'P 1'
_space_group_IT_number 1
loop_
_space_group_symop_operation_xyz
'x,y,z'
loop_
_atom_site_label
_atom_site_type_symbol
_atom_site_fract_x
_atom_site_fract_y
_atom_site_fract_z
Mn1 Mn 0.000 0.500 0.000
Mn2 Mn 0.500 0.000 0.000
Co1 Co 0.000 0.000 0.500
Sb1 Sb 0.500 0.500 0.500
```

* formation energy (no corrections): 0.071 eV/atom
* theoretical density: 8.817 Mg/m³
* size of the total moment: 4.96 μB per formula unit